(1)
A relaxed structure of BaNdTl6. Source: the Alexandria database, functional GGA-PBE.

Summary:
- formation energy (eV/atom) = -0.274
- spin magnetization (μB per atom) = 0.000
- density of states at the Fermi level (states/eV/atom) = 0.53

Cell and atoms, written as POSCAR:
```
BaNdTl6
1.0
-3.837 1.403 2.837
0.545 -4.099 2.764
6.265 4.909 6.045
Tl Ba Nd
6 1 1
Cartesian
2.701 4.321 5.875
1.487 1.107 5.823
-0.272 1.991 3.007
1.919 -0.760 2.970
-1.646 -1.348 2.801
4.892 1.570 5.839
0.000 0.000 0.000
3.133 2.455 3.022
```


(2)
A relaxed structure of Hg2OsW. Source: the Alexandria database, functional GGA-PBE.

Summary:
- formation energy (eV/atom) = 0.603
- spin magnetization (μB per atom) = 0.000
- density of states at the Fermi level (states/eV/atom) = 0.86
- excess energy over the best structure of this formula in the dataset (kJ/mol of atoms) = 19.00

Cell and atoms, written as POSCAR:
```
Hg2OsW
1.0
-0.507 2.829 -0.152
-0.090 -1.510 -2.449
-10.040 -1.721 1.430
Os Hg W
1 2 1
Cartesian
-5.258 -0.901 0.749
-2.991 0.198 -0.917
-9.864 -1.691 1.405
-7.585 -0.589 -0.262
```


(3)
A relaxed structure of In2SiRu2. Source: the Alexandria database, functional GGA-PBE.

Summary:
- E_form (uncorrected) (kJ per mole of atoms) = -17
- spin magnetization (μB per atom) = 0.000
- density of states at the Fermi level (states/eV/atom) = 0.45

Cell and atoms, written as POSCAR:
```
In2SiRu2
1.0
6.314 0.000 0.000
0.000 6.314 0.000
0.000 0.000 4.333
In Si Ru
4 2 4
Cartesian
2.141 1.016 2.167
4.173 5.298 2.167
1.016 4.173 2.167
5.298 2.141 2.167
0.000 0.000 0.000
3.157 3.157 0.000
0.982 2.175 0.000
2.175 5.332 0.000
5.332 4.139 0.000
4.139 0.982 0.000
```


(4)
A relaxed structure of Ac3GaS2. Source: the Alexandria database, functional GGA-PBE.

Summary:
- E_form (uncorrected) (kJ per mole of atoms) = -143
- spin magnetization (μB per atom) = 0.000
- density of states at the Fermi level (states/eV/atom) = 0.35

Cell and atoms, written as POSCAR:
```
Ac3GaS2
1.0
4.230 -0.130 -1.097
-0.503 5.666 -2.614
-0.249 0.096 7.751
Ac S Ga
3 2 1
Cartesian
1.863 2.768 -1.855
2.916 4.637 1.992
0.561 0.995 2.048
0.283 3.780 0.642
3.194 1.851 3.398
2.115 -0.065 -0.548
```


(5)
A relaxed structure of La4Nd3TmSe8. Source: the Alexandria database, functional GGA-PBE.

Summary:
- E_form (uncorrected) (kJ per mole of atoms) = -183
- spin magnetization (μB per atom) = 0.000
- density of states at the Fermi level (states/eV/atom) = 0.63

Cell and atoms, written as POSCAR:
```
La4Nd3TmSe8
1.0
-1.111 -5.719 6.186
3.277 -6.036 -4.992
4.399 7.108 1.525
La Se Nd Tm
4 8 3 1
Cartesian
0.000 0.000 0.000
1.644 0.695 3.855
-0.555 -2.859 3.093
2.199 3.554 0.763
0.029 -5.902 3.392
2.295 -2.239 4.178
2.768 0.601 1.052
5.964 -1.691 2.514
3.798 -5.247 1.667
0.601 -2.956 0.205
6.537 1.255 -0.673
4.270 -2.407 -1.459
3.838 0.536 -1.733
3.283 -2.323 1.360
1.083 -5.877 0.597
1.639 -3.018 -2.496
```


(6)
A relaxed structure of GaTe3Au. Source: the Alexandria database, functional GGA-PBE.

Summary:
- E_form (uncorrected) (kJ per mole of atoms) = -14
- spin magnetization (μB per atom) = 0.000
- density of states at the Fermi level (states/eV/atom) = 0.13
- excess energy over the best structure of this formula in the dataset (kJ/mol of atoms) = 0.00

Cell and atoms, written as POSCAR:
```
GaTe3Au
1.0
-5.616 -4.184 -1.623
-1.338 -4.670 5.319
-8.474 1.238 1.539
Ga Te Au
2 6 2
Cartesian
-6.175 -4.259 2.848
-9.253 -3.358 2.387
-4.629 -4.984 4.922
-10.156 -3.975 4.782
-8.201 -5.841 2.034
-10.799 -2.633 0.313
-7.227 -1.775 3.202
-5.272 -3.642 0.453
-5.406 -1.058 1.230
-10.022 -6.558 4.005
```


- density of states at the Fermi level of number 2 (Hg2OsW)?
  0.86 states/eV/atom


- Which formula does entry 3 have?
  In2SiRu2


- The highest density of states at the Fermi level belongs to which entry?
  Hg2OsW